i) Material: Al2TlTcHg
Method: DFT, GGA-PBE
State: relaxed

magnetization	3.84	μB/cell

Cell: 5.1902 5.5073 5.1902 Å, 90.00 90.00 90.00°
Last column: magnetic moment on the atom in μB.
Sites, in units of the cell vectors:
Tc  0.5000  0.5000  0.5000  3.50
Tl  0.0000  0.0000  0.0000  0.01
Al  0.0000  0.0000  0.5000  -0.01
Al  0.5000  0.0000  0.0000  -0.02
Hg  0.0000  0.5000  0.0000  0.01

=====

ii) Material: Al2TlTcHg
Method: DFT, GGA-PBE
State: relaxed

magnetization	0.00	μB/cell

Cell: 4.8369 5.3629 4.8369 Å, 90.00 90.00 90.00°
Sites, in units of the cell vectors:
Tc  0.0000  0.0000  0.0000
Al  0.5000  0.0000  0.0000
Al  0.0000  0.0000  0.5000
Tl  0.0000  0.5000  0.0000
Hg  0.5000  0.5000  0.5000

=====

ii) (1.236 eV/atom below the next structure)

=====

i) Material: AlHg2Te
Method: DFT, GGA-PBE
State: relaxed

magnetization	0.00	μB/cell

Cell: 3.9328 3.1449 8.3324 Å, 93.67 90.00 90.00°
Sites, in units of the cell vectors:
Hg  0.0000  0.0705  0.9673
Hg  0.0000  0.4295  0.5327
Te  0.5000  0.2500  0.2500
Al  0.5000  0.7500  0.7500

=====

ii) Material: AlHg2Te
Method: DFT, GGA-PBE
State: relaxed

magnetization	0.00	μB/cell

Cell: 3.3689 3.3689 8.7933 Å, 90.00 90.00 90.00°
Sites, in units of the cell vectors:
Te  0.5000  0.5000  0.2500
Al  0.5000  0.5000  0.7500
Hg  0.0000  0.0000  0.5400
Hg  0.0000  0.0000  0.9600

=====

i) (0.070 eV/atom below the next structure)

=====

i) Material: AlHg2Te
Method: DFT, GGA-PBE
State: relaxed

magnetization	0.00	μB/cell

Cell: 4.1266 4.1266 6.5939 Å, 90.00 90.00 90.00°
Sites, in units of the cell vectors:
Te  0.5000  0.0000  0.5000
Hg  0.0000  0.0000  0.0000
Hg  0.5000  0.5000  0.0000
Al  0.0000  0.5000  0.5000

=====

ii) Material: AlHg2Te
Method: DFT, GGA-PBE
State: relaxed

magnetization	0.00	μB/cell

Cell: 3.4002 3.4002 8.7776 Å, 90.00 90.00 100.80°
Sites, in units of the cell vectors:
Hg  0.0000  0.0000  0.9642
Hg  0.0000  0.0000  0.5358
Te  0.5000  0.5000  0.2500
Al  0.5000  0.5000  0.7500

=====

i) (0.081 eV/atom below the next structure)

=====

i) Material: AlHg2Te
Method: DFT, GGA-PBE
State: relaxed

magnetization	0.00	μB/cell

Cell: 3.9314 3.1641 9.0843 Å, 105.08 90.00 90.00°
Sites, in units of the cell vectors:
Te  0.0000  0.4010  0.5510
Al  0.5000  0.5629  0.7694
Hg  0.0000  0.2037  0.9514
Hg  0.5000  0.3325  0.2282

=====

ii) Material: AlHg2Te
Method: DFT, GGA-PBE
State: relaxed

magnetization	0.00	μB/cell

Cell: 7.2343 7.2343 7.2343 Å, 148.66 145.95 46.95°
Sites, in units of the cell vectors:
Te  0.7500  0.2500  0.5000
Al  0.2500  0.7500  0.5000
Hg  0.4571  0.4571  0.0000
Hg  0.0429  0.0429  0.0000

=====

iii) Material: AlHg2Te
Method: DFT, GGA-PBE
State: relaxed

magnetization	0.00	μB/cell

Cell: 5.2429 5.2429 5.6068 Å, 121.54 121.54 88.81°
Sites, in units of the cell vectors:
Al  0.7110  0.2890  0.5000
Hg  0.2652  0.7348  0.5000
Hg  0.0146  0.9854  0.0000
Te  0.5092  0.4908  0.0000

=====

i) (0.045 eV/atom below the next structure)

=====

i) Material: Al2HgTe
Method: DFT, GGA-PBE
State: relaxed

magnetization	0.00	μB/cell

Cell: 5.1196 5.1196 5.1196 Å, 60.00 60.00 60.00°
Sites, in units of the cell vectors:
Al  0.0000  0.0000  0.0000
Al  0.2500  0.2500  0.2500
Te  0.7500  0.7500  0.7500
Hg  0.5000  0.5000  0.5000

=====

ii) Material: Al2HgTe
Method: DFT, GGA-PBE
State: relaxed

magnetization	0.00	μB/cell

Cell: 3.5323 3.5324 7.8691 Å, 90.00 90.00 89.99°
Sites, in units of the cell vectors:
Hg  0.0000  0.0000  0.4511
Al  0.5000  0.5000  0.2090
Al  0.0000  0.0000  0.0155
Te  0.5000  0.5000  0.8244

=====

iii) Material: Al2HgTe
Method: DFT, GGA-PBE
State: relaxed

magnetization	0.00	μB/cell

Cell: 7.5206 7.5206 7.5206 Å, 30.07 30.07 30.07°
Sites, in units of the cell vectors:
Te  0.7500  0.7500  0.7500
Al  0.9982  0.9982  0.9982
Al  0.5018  0.5018  0.5018
Hg  0.2500  0.2500  0.2500

=====

iii) (0.124 eV/atom below the next structure)

=====

i) Material: AlHgTe3
Method: DFT, GGA-PBE
State: relaxed

magnetization	0.00	μB/cell

Cell: 5.3950 5.3950 5.3950 Å, 90.00 90.00 90.00°
Sites, in units of the cell vectors:
Te  0.0000  0.0000  0.5000
Te  0.5000  0.0000  0.0000
Te  0.0000  0.5000  0.0000
Al  0.0000  0.0000  0.0000
Hg  0.5000  0.5000  0.5000

=====

ii) Material: AlHgTe3
Method: DFT, GGA-PBE
State: relaxed

magnetization	0.00	μB/cell

Cell: 3.7913 7.1315 6.8402 Å, 61.47 89.99 90.00°
Sites, in units of the cell vectors:
Te  0.0121  0.4110  0.4843
Te  0.5121  0.0425  0.2218
Te  0.5122  0.8078  0.8517
Hg  0.5116  0.4341  0.8065
Al  0.0121  0.8049  0.1457

=====

ii) (0.374 eV/atom below the next structure)

=====

i) Material: AlHg3Te
Method: DFT, GGA-PBE
State: relaxed

magnetization	0.00	μB/cell

Cell: 5.2805 5.2805 5.2805 Å, 90.00 90.00 90.00°
Sites, in units of the cell vectors:
Te  0.5000  0.5000  0.5000
Hg  0.0000  0.5000  0.0000
Hg  0.0000  0.0000  0.5000
Hg  0.5000  0.0000  0.0000
Al  0.0000  0.0000  0.0000

=====

ii) Material: AlHg3Te
Method: DFT, GGA-PBE
State: relaxed

magnetization	0.00	μB/cell

Cell: 5.7961 5.7961 5.7961 Å, 90.00 90.00 90.00°
Sites, in units of the cell vectors:
Hg  0.0000  0.0000  0.5000
Hg  0.5000  0.0000  0.0000
Hg  0.0000  0.5000  0.0000
Te  0.0000  0.0000  0.0000
Al  0.5000  0.5000  0.5000

=====

i) (0.356 eV/atom below the next structure)

=====

i) Material: Th2AlHg
Method: DFT, GGA-PBE
State: relaxed

magnetization	0.00	μB/cell

Cell: 4.5024 4.8511 4.8511 Å, 90.00 90.00 90.00°
Sites, in units of the cell vectors:
Th  0.0000  0.0000  0.5000
Th  0.0000  0.5000  0.0000
Al  0.5000  0.5000  0.5000
Hg  0.5000  0.0000  0.0000

=====

ii) Material: Th2AlHg
Method: DFT, GGA-PBE
State: relaxed

magnetization	0.00	μB/cell

Cell: 3.3500 3.3500 11.9218 Å, 81.92 81.92 60.00°
Sites, in units of the cell vectors:
Al  0.0000  0.0000  0.0000
Th  0.0887  0.0887  0.7339
Th  0.9113  0.9113  0.2661
Hg  0.5000  0.5000  0.5000

=====

i) (0.452 eV/atom below the next structure)